<P>
Below is a relaxed structure of K3GaAu, with properties calculated at the PBE-GGA level.

Unit cell a=8.6859 b=8.4091 c=11.4294 alpha=90.00 beta=115.22 gamma=90.00
With the nearest neighbours (Å) after each atom.
Fractional coordinates of all 20 atoms:
K1 0.1287 0.1654 0.4335  3 Au 3.37-3.62, 2 Ga 3.50-3.58
K2 0.1287 0.3346 0.9335  3 Au 3.37-3.62, 2 Ga 3.50-3.58
K3 0.2322 0.5342 0.6777  3 Au 3.47-3.78, 2 Ga 3.62-3.72, 3 K 3.76-3.80
K4 0.2322 0.9658 0.1777  3 Au 3.47-3.78, 2 Ga 3.62-3.72, 3 K 3.76-3.80
K5 0.3232 0.0007 0.7968  1 Au 3.38, 1 K 3.76
K6 0.3232 0.4993 0.2968  1 Au 3.38, 1 K 3.76
K7 0.6768 0.5007 0.7032  1 Au 3.38, 1 K 3.76
K8 0.6768 0.9993 0.2032  1 Au 3.38, 1 K 3.76
K9 0.7678 0.0342 0.8223  3 Au 3.47-3.78, 2 Ga 3.62-3.72, 3 K 3.76-3.80
K10 0.7678 0.4658 0.3223  3 Au 3.47-3.78, 2 Ga 3.62-3.72, 3 K 3.76-3.80
K11 0.8713 0.6654 0.0665  3 Au 3.37-3.62, 2 Ga 3.50-3.58
K12 0.8713 0.8346 0.5665  3 Au 3.37-3.62, 2 Ga 3.50-3.58
Ga1 0.4371 0.6337 0.0184  1 Ga 2.61, 1 Au 2.63
Ga2 0.4371 0.8663 0.5184  1 Ga 2.61, 1 Au 2.63
Ga3 0.5629 0.1337 0.4816  1 Ga 2.61, 1 Au 2.63
Ga4 0.5629 0.3663 0.9816  1 Ga 2.61, 1 Au 2.63
Au1 0.1208 0.7331 0.9024  1 Ga 2.63
Au2 0.1208 0.7669 0.4024  1 Ga 2.63
Au3 0.8792 0.2331 0.5976  1 Ga 2.63
Au4 0.8792 0.2669 0.0976  1 Ga 2.63


<Q>
Below is a relaxed structure of K3GaAu, with properties calculated at the PBE-GGA level.

Unit cell a=6.2800 b=6.2800 c=6.2800 alpha=90.00 beta=90.00 gamma=90.00
With the nearest neighbours (Å) after each atom.
Fractional coordinates of all 5 atoms:
K1 0.0000 0.0000 0.5000  2 Au 3.14
K2 0.0000 0.5000 0.0000  2 Au 3.14
K3 0.5000 0.0000 0.0000  2 Au 3.14
Ga1 0.5000 0.5000 0.5000  12 K 4.44
Au1 0.0000 0.0000 0.0000  6 K 3.14


Of them, the most stable is <P> and the least stable is <Q>.